Ac8YTm2 | PBE-GGA | relaxed Values from VASP.

For the formation enthalpy at 0 K, the calculation gives 139 meV/atom. As for the density of states at the Fermi level: 1.86 states/eV per atom. The volume is 462.7 Å³ per cell. The space group is No. 71. The value obtained for the magnetization is 0.0000 μB/atom.

Cell and atoms, written as Quantum ESPRESSO input:
```
&SYSTEM
  ibrav = 0, nat = 11, ntyp = 3
/
ATOMIC_SPECIES
Ac 227.00 Ac.upf
Y 88.91 Y.upf
Tm 168.93 Tm.upf
ATOMIC_POSITIONS angstrom
Ac -1.4637 -0.8516 -7.7467
Ac -5.1519 -1.6696 -2.5708
Ac -2.3702 -0.3247 -0.3290
Ac -8.5894 2.2774 -0.8331
Ac -4.9961 -0.3712 -6.3808
Ac -2.2144 0.9737 -4.1390
Ac -5.9026 0.1557 1.0369
Ac 1.2232 -2.9733 -5.8767
Y -0.1664 2.5646 -1.3322
Tm -2.3986 -2.6028 -4.7112
Tm -4.9677 1.9069 -1.9986
CELL_PARAMETERS angstrom
-0.3327 5.1291 -2.6643
1.7718 -4.3062 -8.5112
-8.8053 -1.5188 4.4658
```